Arrangement A

Density functional theory data (PBE) for a geometry-optimized CoPCl structure.

Calculated values
The value obtained for the volume is 54.68 Å³/cell.

a b c (Å): 7.162 7.162 7.162
angles (deg): 157.30 157.30 32.33
Atoms (fractional coordinates):
Cl1 0.945 0.945 0.000
Co1 0.325 0.325 0.000
P1 0.729 0.729 0.000


Arrangement B

Density functional theory data (PBE) for a geometry-optimized CoPCl structure.

Calculated values
The value obtained for the volume is 51.67 Å³/cell.

a b c (Å): 3.334 3.334 5.367
angles (deg): 90.00 90.00 120.00
Atoms (fractional coordinates):
Cl1 0.000 0.000 0.083
Co1 0.667 0.333 0.365
P1 0.333 0.667 0.552


Arrangement C

Density functional theory data (PBE) for a geometry-optimized CoPCl structure.

Calculated values
The value obtained for the volume is 46.68 Å³/cell.

a b c (Å): 4.041 4.041 4.041
angles (deg): 60.00 60.00 60.00
Atoms (fractional coordinates):
Cl1 0.500 0.500 0.500
Co1 0.750 0.750 0.750
P1 0.000 0.000 0.000


Most stable: arrangement B. Least stable: arrangement C.


Arrangement A

Density functional theory data (PBE) for a geometry-optimized CoP2Cl2 structure.

Calculated values
The value obtained for the volume is 109.54 Å³/cell.

a b c (Å): 3.166 3.166 11.156
angles (deg): 81.84 81.84 90.00
Atoms (fractional coordinates):
P1 0.750 0.250 0.500
P2 0.250 0.750 0.500
Co1 0.000 0.000 0.000
Cl1 0.433 0.433 0.135
Cl2 0.567 0.567 0.865


Arrangement B

Density functional theory data (PBE) for a geometry-optimized CoP2Cl2 structure.

Calculated values
The value obtained for the volume is 192.99 Å³/cell.

a b c (Å): 8.323 8.323 2.786
angles (deg): 90.00 90.00 90.00
Atoms (fractional coordinates):
P1 0.225 0.725 0.500
P2 0.725 0.775 0.500
P3 0.775 0.275 0.500
P4 0.275 0.225 0.500
Co1 0.000 0.000 0.000
Co2 0.500 0.500 0.000
Cl1 0.380 0.880 0.000
Cl2 0.880 0.620 0.000
Cl3 0.620 0.120 0.000
Cl4 0.120 0.380 0.000


Most stable: arrangement A. Least stable: arrangement B.


Arrangement A

Density functional theory data (PBE) for a geometry-optimized CoP3Cl structure.

Calculated values
The value obtained for the volume is 90.91 Å³/cell.

a b c (Å): 4.496 4.496 4.496
angles (deg): 90.00 90.00 90.00
Atoms (fractional coordinates):
P1 0.000 0.500 0.000
P2 0.000 0.000 0.500
P3 0.500 0.000 0.000
Co1 0.500 0.500 0.500
Cl1 0.000 0.000 0.000


Arrangement B

Density functional theory data (PBE) for a geometry-optimized CoP3Cl structure.

Calculated values
The value obtained for the volume is 86.00 Å³/cell.

a b c (Å): 4.414 4.414 4.414
angles (deg): 90.00 90.00 90.00
Atoms (fractional coordinates):
P1 0.000 0.500 0.000
P2 0.000 0.000 0.500
P3 0.500 0.000 0.000
Co1 0.000 0.000 0.000
Cl1 0.500 0.500 0.500


Most stable: arrangement B. Least stable: arrangement A.


Arrangement A

Density functional theory data (PBE) for a geometry-optimized Co2PCl structure.

Calculated values
The value obtained for the volume is 56.20 Å³/cell.

a b c (Å): 3.393 3.393 5.951
angles (deg): 73.82 73.82 60.06
Atoms (fractional coordinates):
Cl1 0.250 0.250 0.250
Co1 0.029 0.029 0.918
Co2 0.471 0.471 0.582
P1 0.750 0.750 0.750


Arrangement B

Density functional theory data (PBE) for a geometry-optimized Co2PCl structure.

Calculated values
The value obtained for the volume is 68.34 Å³/cell.

a b c (Å): 3.088 3.044 7.272
angles (deg): 90.00 90.00 90.00
Atoms (fractional coordinates):
Cl1 0.500 0.500 0.865
Co1 0.000 0.000 0.034
Co2 0.500 0.500 0.261
P1 0.000 0.000 0.340


Arrangement C

Density functional theory data (PBE) for a geometry-optimized Co2PCl structure.

Calculated values
The value obtained for the volume is 58.75 Å³/cell.

a b c (Å): 6.403 6.403 3.040
angles (deg): 76.26 76.26 29.09
Atoms (fractional coordinates):
Cl1 0.197 0.197 0.929
Co1 0.009 0.009 0.116
Co2 0.837 0.837 0.788
P1 0.458 0.458 0.667


Most stable: arrangement A. Least stable: arrangement B.


Arrangement A

Density functional theory data (PBE) for a geometry-optimized CoPPbCl2 structure.

Calculated values
The value obtained for the volume is 101.86 Å³/cell.

a b c (Å): 4.713 4.713 4.586
angles (deg): 90.00 90.00 90.00
Atoms (fractional coordinates):
Pb1 0.500 0.500 0.500
P1 0.000 0.000 0.500
Co1 0.000 0.000 0.000
Cl1 0.000 0.500 0.000
Cl2 0.500 0.000 0.000


Arrangement B

Density functional theory data (PBE) for a geometry-optimized CoPPbCl2 structure.

Calculated values
The value obtained for the volume is 137.99 Å³/cell.

a b c (Å): 5.180 5.180 5.144
angles (deg): 90.00 90.00 90.00
Atoms (fractional coordinates):
Pb1 0.000 0.000 0.000
P1 0.000 0.000 0.500
Co1 0.500 0.500 0.500
Cl1 0.000 0.500 0.000
Cl2 0.500 0.000 0.000


Most stable: arrangement A. Least stable: arrangement B.


Arrangement A

Density functional theory data (PBE) for a geometry-optimized CoP2PdCl structure.

Calculated values
The value obtained for the volume is 106.27 Å³/cell.

a b c (Å): 4.615 4.615 4.991
angles (deg): 90.00 90.00 90.00
Atoms (fractional coordinates):
P1 0.000 0.500 0.000
P2 0.500 0.000 0.000
Co1 0.500 0.500 0.500
Pd1 0.000 0.000 0.000
Cl1 0.000 0.000 0.500


Arrangement B

Density functional theory data (PBE) for a geometry-optimized CoP2PdCl structure.

Calculated values
The value obtained for the volume is 87.36 Å³/cell.

a b c (Å): 4.246 4.246 4.845
angles (deg): 90.00 90.00 90.00
Atoms (fractional coordinates):
P1 0.000 0.500 0.000
P2 0.500 0.000 0.000
Co1 0.000 0.000 0.000
Pd1 0.500 0.500 0.500
Cl1 0.000 0.000 0.500


Most stable: arrangement B. Least stable: arrangement A.


Arrangement A

Density functional theory data (PBE) for a geometry-optimized CoP2SCl structure.

Calculated values
The value obtained for the volume is 86.88 Å³/cell.

a b c (Å): 4.424 4.424 4.440
angles (deg): 90.00 90.00 90.00
Atoms (fractional coordinates):
P1 0.000 0.500 0.000
P2 0.500 0.000 0.000
S1 0.000 0.000 0.500
Co1 0.000 0.000 0.000
Cl1 0.500 0.500 0.500


Arrangement B

Density functional theory data (PBE) for a geometry-optimized CoP2SCl structure.

Calculated values
The value obtained for the volume is 96.19 Å³/cell.

a b c (Å): 4.502 4.502 4.745
angles (deg): 90.00 90.00 90.00
Atoms (fractional coordinates):
P1 0.000 0.500 0.000
P2 0.500 0.000 0.000
S1 0.000 0.000 0.500
Co1 0.500 0.500 0.500
Cl1 0.000 0.000 0.000


Arrangement C

Density functional theory data (PBE) for a geometry-optimized CoP2SCl structure.

Calculated values
The value obtained for the volume is 85.95 Å³/cell.

a b c (Å): 4.422 4.422 4.395
angles (deg): 90.00 90.00 90.00
Atoms (fractional coordinates):
P1 0.000 0.500 0.000
P2 0.500 0.000 0.000
S1 0.500 0.500 0.500
Co1 0.000 0.000 0.000
Cl1 0.000 0.000 0.500


Most stable: arrangement C. Least stable: arrangement B.


Arrangement A

Density functional theory data (PBE) for a geometry-optimized CoPS2Cl structure.

Calculated values
The value obtained for the volume is 86.73 Å³/cell.

a b c (Å): 4.440 4.440 4.399
angles (deg): 90.00 90.00 90.00
Atoms (fractional coordinates):
P1 0.500 0.500 0.500
S1 0.000 0.500 0.000
S2 0.500 0.000 0.000
Co1 0.000 0.000 0.000
Cl1 0.000 0.000 0.500


Arrangement B

Density functional theory data (PBE) for a geometry-optimized CoPS2Cl structure.

Calculated values
The value obtained for the volume is 97.53 Å³/cell.

a b c (Å): 4.600 4.600 4.610
angles (deg): 90.00 90.00 90.00
Atoms (fractional coordinates):
P1 0.000 0.000 0.500
S1 0.000 0.500 0.000
S2 0.500 0.000 0.000
Co1 0.500 0.500 0.500
Cl1 0.000 0.000 0.000


Most stable: arrangement A. Least stable: arrangement B.